Material: MnNbCuIr
Method: DFT, GGA-PBE
State: optimized geometry

Calculated values
Formation energy from the elements, eV per atom: -0.11
Symmetry: No. 216
Energy, eV per atom: -8.1591
Total moment, μB/cell: 2.7

Unit cell a=4.351 b=4.351 c=4.351 alpha=60.00 beta=60.00 gamma=60.00
Each line ends with the local moment (μB).
Element x y z (fractional)
Ir1 0.000 0.000 0.000  0.13
Cu1 0.250 0.250 0.250  0.09
Mn1 0.500 0.500 0.500  2.92
Nb1 0.750 0.750 0.750  -0.44